NdNi2B2C at its PBEsol-relaxed geometry. Source: Alexandria, functional SCAN.

Cell: 3.644 3.644 9.942 Å, 90.00 90.00 90.00°
Space group I4/mmm (No. 139)
Asymmetric unit:
Nd  0.000  0.000  0.000 x2
Ni  0.000  0.500  0.250 x4
B  0.000  0.000  0.350 x4
C  0.000  0.000  0.500 x2

## Properties
ρ: 7.4 g/cm³
E: -207.84 eV per cell